No. 1
The following is a DFT calculation (GGA-PBE) of crystalline Li2CeHoGe2 at its relaxed geometry.

Calculated values
Energy of formation in eV per atom: -0.617
Crystal system: trigonal
Energy in eV per cell: -27.3
SG: No. 164

a b c (Å): 4.4414 4.4414 7.2931
angles (deg): 90.00 90.00 120.00
Element x y z (fractional)
Li 0.3333 0.6667 0.2199
Li 0.6667 0.3333 0.7801
Ce 0.0000 0.0000 0.5000
Ho 0.0000 0.0000 0.0000
Ge 0.3333 0.6667 0.7572
Ge 0.6667 0.3333 0.2428

---

No. 2
The following is a DFT calculation (GGA-PBE) of crystalline LiCeHoGe at its relaxed geometry.

Calculated values
Energy of formation in eV per atom: -0.322
Crystal system: cubic
Energy in eV per cell: -73.3
SG: No. 216

a b c (Å): 7.1756 7.1756 7.1756
angles (deg): 90.00 90.00 90.00
Element x y z (fractional)
Li 0.0000 0.0000 0.0000
Li 0.0000 0.5000 0.5000
Li 0.5000 0.0000 0.5000
Li 0.5000 0.5000 0.0000
Ce 0.2500 0.2500 0.2500
Ce 0.2500 0.7500 0.7500
Ce 0.7500 0.2500 0.7500
Ce 0.7500 0.7500 0.2500
Ho 0.2500 0.2500 0.7500
Ho 0.2500 0.7500 0.2500
Ho 0.7500 0.2500 0.2500
Ho 0.7500 0.7500 0.7500
Ge 0.0000 0.0000 0.5000
Ge 0.0000 0.5000 0.0000
Ge 0.5000 0.0000 0.0000
Ge 0.5000 0.5000 0.5000

---

No. 3
The following is a DFT calculation (GGA-PBE) of crystalline CeHoMgGe at its relaxed geometry.

Calculated values
Energy of formation in eV per atom: -0.303
Crystal system: cubic
Energy in eV per cell: -71.7
SG: No. 216

a b c (Å): 7.3187 7.3187 7.3187
angles (deg): 90.00 90.00 90.00
Element x y z (fractional)
Ce 0.0000 0.0000 0.0000
Ce 0.0000 0.5000 0.5000
Ce 0.5000 0.0000 0.5000
Ce 0.5000 0.5000 0.0000
Ho 0.0000 0.0000 0.5000
Ho 0.0000 0.5000 0.0000
Ho 0.5000 0.0000 0.0000
Ho 0.5000 0.5000 0.5000
Mg 0.2500 0.2500 0.2500
Mg 0.2500 0.7500 0.7500
Mg 0.7500 0.2500 0.7500
Mg 0.7500 0.7500 0.2500
Ge 0.2500 0.2500 0.7500
Ge 0.2500 0.7500 0.2500
Ge 0.7500 0.2500 0.2500
Ge 0.7500 0.7500 0.7500

---

No. 4
The following is a DFT calculation (GGA-PBE) of crystalline CeHoNi2Ge2 at its relaxed geometry.

Calculated values
Energy of formation in eV per atom: -0.749
Crystal system: trigonal
Energy in eV per cell: -35.8
SG: No. 164

a b c (Å): 4.1917 4.1917 7.4216
angles (deg): 90.00 90.00 120.00
Element x y z (fractional)
Ce 0.0000 0.0000 0.0000
Ho 0.0000 0.0000 0.5000
Ni 0.3333 0.6667 0.7345
Ni 0.6667 0.3333 0.2655
Ge 0.3333 0.6667 0.2557
Ge 0.6667 0.3333 0.7443

---

No. 5
The following is a DFT calculation (GGA-PBE) of crystalline CeHoGePd at its relaxed geometry.

Calculated values
Energy of formation in eV per atom: -0.685
Crystal system: cubic
Energy in eV per cell: -92.3
SG: No. 216

a b c (Å): 7.1668 7.1668 7.1668
angles (deg): 90.00 90.00 90.00
Element x y z (fractional)
Ce 0.0000 0.0000 0.0000
Ce 0.0000 0.5000 0.5000
Ce 0.5000 0.0000 0.5000
Ce 0.5000 0.5000 0.0000
Ho 0.0000 0.0000 0.5000
Ho 0.0000 0.5000 0.0000
Ho 0.5000 0.0000 0.0000
Ho 0.5000 0.5000 0.5000
Ge 0.2500 0.2500 0.2500
Ge 0.2500 0.7500 0.7500
Ge 0.7500 0.2500 0.7500
Ge 0.7500 0.7500 0.2500
Pd 0.2500 0.2500 0.7500
Pd 0.2500 0.7500 0.2500
Pd 0.7500 0.2500 0.2500
Pd 0.7500 0.7500 0.7500

---

No. 6
The following is a DFT calculation (GGA-PBE) of crystalline CeHoGe2Pt5 at its relaxed geometry.

Calculated values
Energy of formation in eV per atom: -0.874
Crystal system: tetragonal
Energy in eV per cell: -57.8
SG: No. 123

a b c (Å): 4.2761 4.2761 9.1128
angles (deg): 90.00 90.00 90.00
Element x y z (fractional)
Ce 0.0000 0.0000 0.0000
Ho 0.0000 0.0000 0.5000
Ge 0.5000 0.5000 0.3674
Ge 0.5000 0.5000 0.6326
Pt 0.0000 0.5000 0.2279
Pt 0.0000 0.5000 0.7721
Pt 0.5000 0.0000 0.2279
Pt 0.5000 0.0000 0.7721
Pt 0.5000 0.5000 0.0000

---

No. 7
The following is a DFT calculation (GGA-PBE) of crystalline CeHoGePt at its relaxed geometry.

Calculated values
Energy of formation in eV per atom: -0.830
Relative energy among the computed polymorphs in eV/atom: 0.000
Crystal system: cubic
Energy in eV per cell: -98.0
SG: No. 216

a b c (Å): 7.1546 7.1546 7.1546
angles (deg): 90.00 90.00 90.00
Element x y z (fractional)
Ce 0.0000 0.0000 0.0000
Ce 0.0000 0.5000 0.5000
Ce 0.5000 0.0000 0.5000
Ce 0.5000 0.5000 0.0000
Ho 0.0000 0.0000 0.5000
Ho 0.0000 0.5000 0.0000
Ho 0.5000 0.0000 0.0000
Ho 0.5000 0.5000 0.5000
Ge 0.2500 0.2500 0.7500
Ge 0.2500 0.7500 0.2500
Ge 0.7500 0.2500 0.2500
Ge 0.7500 0.7500 0.7500
Pt 0.2500 0.2500 0.2500
Pt 0.2500 0.7500 0.7500
Pt 0.7500 0.2500 0.7500
Pt 0.7500 0.7500 0.2500

---

No. 8
The following is a DFT calculation (GGA-PBE) of crystalline CeHoGePt at its relaxed geometry.

Calculated values
Energy of formation in eV per atom: -0.673
Relative energy among the computed polymorphs in eV/atom: 0.157
Crystal system: tetragonal
Energy in eV per cell: -47.7
SG: No. 129

a b c (Å): 4.5424 4.5424 10.4262
angles (deg): 90.00 90.00 90.00
Element x y z (fractional)
Ce 0.2500 0.2500 0.1624
Ce 0.7500 0.7500 0.8376
Ho 0.2500 0.7500 0.5000
Ho 0.7500 0.2500 0.5000
Ge 0.2500 0.2500 0.8896
Ge 0.7500 0.7500 0.1104
Pt 0.2500 0.2500 0.6579
Pt 0.7500 0.7500 0.3421

---

No. 9
The following is a DFT calculation (GGA-PBE) of crystalline CeHoGeRu at its relaxed geometry.

Calculated values
Energy of formation in eV per atom: -0.419
Crystal system: cubic
Energy in eV per cell: -104.3
SG: No. 216

a b c (Å): 7.0203 7.0203 7.0203
angles (deg): 90.00 90.00 90.00
Element x y z (fractional)
Ce 0.0000 0.0000 0.0000
Ce 0.0000 0.5000 0.5000
Ce 0.5000 0.0000 0.5000
Ce 0.5000 0.5000 0.0000
Ho 0.0000 0.0000 0.5000
Ho 0.0000 0.5000 0.0000
Ho 0.5000 0.0000 0.0000
Ho 0.5000 0.5000 0.5000
Ge 0.2500 0.2500 0.2500
Ge 0.2500 0.7500 0.7500
Ge 0.7500 0.2500 0.7500
Ge 0.7500 0.7500 0.2500
Ru 0.2500 0.2500 0.7500
Ru 0.2500 0.7500 0.2500
Ru 0.7500 0.2500 0.2500
Ru 0.7500 0.7500 0.7500

---

No. 10
The following is a DFT calculation (GGA-PBE) of crystalline CeHoGeSe at its relaxed geometry.

Calculated values
Formation energy (no corrections) in eV/atom: -1.33
Crystal system: trigonal
Energy in eV per cell: -71.8
SG: No. 160

a b c (Å): 4.1749 4.1749 20.4170
angles (deg): 90.00 90.00 120.00
Element x y z (fractional)
Ce 0.0000 0.0000 0.0000
Ce 0.3333 0.6667 0.6667
Ce 0.6667 0.3333 0.3333
Ho 0.0000 0.0000 0.4939
Ho 0.3333 0.6667 0.1606
Ho 0.6667 0.3333 0.8273
Ge 0.0000 0.0000 0.7480
Ge 0.3333 0.6667 0.4147
Ge 0.6667 0.3333 0.0813
Se 0.0000 0.0000 0.2438
Se 0.3333 0.6667 0.9105
Se 0.6667 0.3333 0.5772

---

No. 11
The following is a DFT calculation (GGA-PBE) of crystalline CeHoSnGe at its relaxed geometry.

Calculated values
Energy of formation in eV per atom: -0.525
Crystal system: cubic
Energy in eV per cell: -84.9
SG: No. 216

a b c (Å): 7.4254 7.4254 7.4254
angles (deg): 90.00 90.00 90.00
Element x y z (fractional)
Ce 0.0000 0.0000 0.0000
Ce 0.0000 0.5000 0.5000
Ce 0.5000 0.0000 0.5000
Ce 0.5000 0.5000 0.0000
Ho 0.0000 0.0000 0.5000
Ho 0.0000 0.5000 0.0000
Ho 0.5000 0.0000 0.0000
Ho 0.5000 0.5000 0.5000
Sn 0.2500 0.2500 0.2500
Sn 0.2500 0.7500 0.7500
Sn 0.7500 0.2500 0.7500
Sn 0.7500 0.7500 0.2500
Ge 0.2500 0.2500 0.7500
Ge 0.2500 0.7500 0.2500
Ge 0.7500 0.2500 0.2500
Ge 0.7500 0.7500 0.7500

---

No. 12
The following is a DFT calculation (GGA-PBE) of crystalline CeHoGeTe at its relaxed geometry.

Calculated values
Formation energy (no corrections) in eV/atom: -1.13
Crystal system: trigonal
Energy in eV per cell: -68.3
SG: No. 160

a b c (Å): 4.2908 4.2908 21.3591
angles (deg): 90.00 90.00 120.00
Element x y z (fractional)
Ce 0.0000 0.0000 0.0000
Ce 0.3333 0.6667 0.6667
Ce 0.6667 0.3333 0.3333
Ho 0.0000 0.0000 0.5181
Ho 0.3333 0.6667 0.1847
Ho 0.6667 0.3333 0.8514
Ge 0.0000 0.0000 0.2577
Ge 0.3333 0.6667 0.9244
Ge 0.6667 0.3333 0.5911
Te 0.0000 0.0000 0.7620
Te 0.3333 0.6667 0.4286
Te 0.6667 0.3333 0.0953

---

| no. | calculated density (g/cm³) | spin magnetization (Bohr magnetons per cell) |
| --- | --- | --- |
| 1 | 6.2 | 0.8 |
| 2 | 6.9 | 3.8 |
| 3 | 6.8 | 4.2 |
| 4 | 8.3 | 0.0 |
| 5 | 8.7 | 4.4 |
| 6 | 14.2 | 0.4 |
| 7 | 10.4 | 3.6 |
| 8 | 8.8 | 1.9 |
| 9 | 9.2 | 0.2 |
| 10 | 7.4 | 1.8 |
| 11 | 8.1 | 5.5 |
| 12 | 7.4 | 2.1 |